# VIrO2

A relaxed VIrO2 crystal (PBE+U, Alexandria).

Lattice parameters (Å, degrees): 3.912 3.912 12.267 90.00 90.00 90.00
Positions (direct):
V1 0.000 0.000 0.000
V2 0.000 0.500 0.250
V3 0.500 0.000 0.750
V4 0.500 0.500 0.500
Ir1 0.000 0.000 0.500
Ir2 0.000 0.500 0.750
Ir3 0.500 0.000 0.250
Ir4 0.500 0.500 0.000
O1 0.234 0.250 0.125
O2 0.250 0.734 0.375
O3 0.250 0.766 0.875
O4 0.266 0.250 0.625
O5 0.734 0.750 0.625
O6 0.750 0.234 0.875
O7 0.750 0.266 0.375
O8 0.766 0.750 0.125

## Properties
Uncorrected energy, eV/atom: -7.048
V, Å³/cell: 187.8
ρ, g/cm³: 9.7
N(E_F), states/eV per atom: 0.84